This record from Alexandria describes a relaxed structure of Mn2GeO2. The functional is PBE+U.

Cell lengths 3.7473, 3.7473, 5.8168 Å; angles 90.00, 90.00, 90.00 degrees
Closest atoms and distances in Å follow each position.
Space group P4/mmm (No. 123)
Symmetry-distinct sites (fractional):
Mn1 0.0000 0.0000 0.0000 (multiplicity 1)  4 Ge 2.65, 2 Mn 2.91
Mn2 0.0000 0.0000 0.5000 (multiplicity 1)  4 O 1.87
Ge1 0.5000 0.5000 0.0000 (multiplicity 1)  4 Mn 2.65
O1 0.0000 0.5000 0.5000 (multiplicity 2)  2 Mn 1.87

Calculated values
Density in g/cm3: 4.36
Spin magnetization in μB per atom: 0.0219
DOS at the Fermi energy in states/eV/cell: 0.984
Total energy in eV/atom: -6.086